VASP calculation (PBE) on an optimized crystal structure of SmEr2Al.

a b c (Å): 4.7615 4.7652 4.7652
angles (deg): 90.00 90.00 90.00
Closest atoms and distances in Å follow each position.
Fractional positions:
Al  0.5000  0.0000  0.0000  8 Er 3.37, 4 Sm 3.37
Sm  0.5000  0.5000  0.5000  8 Er 3.37, 4 Al 3.37
Er  0.0000  0.0000  0.5000  4 Al 3.37, 4 Sm 3.37, 4 Er 3.37
Er  0.0000  0.5000  0.0000  4 Sm 3.37, 4 Al 3.37, 4 Er 3.37

Properties
Crystal system: tetragonal
DFT formation energy in meV per atom: -181
Energy relative to the lowest polymorph listed for this composition in meV per atom: 18
Raw total energy in eV per atom: -4.578
Fermi-level density of states in states/eV/cell: 5.26
Size of the total moment in μB per formula unit: 0.001

=====

VASP calculation (PBE) on an optimized crystal structure of BaCaCl2.

a b c (Å): 4.4312 4.4312 9.2672
angles (deg): 90.00 90.00 127.31
Closest atoms and distances in Å follow each position.
Fractional positions:
Ca  0.5000  0.5000  0.7500  4 Cl 2.77
Ba  0.5000  0.5000  0.2500  4 Cl 3.33
Cl  0.0000  0.0000  0.9603  2 Ca 2.77
Cl  0.0000  0.0000  0.5397  2 Ca 2.77

Properties
Crystal system: orthorhombic
Energy relative to the lowest polymorph listed for this composition in meV per atom: 134
Raw total energy in eV per atom: -3.466
Fermi-level density of states in states/eV/cell: 2.82
Raw formation energy in meV/atom: -1562
Size of the total moment in μB per formula unit: 0.004

=====

VASP calculation (PBE) on an optimized crystal structure of SmDyGa2.

a b c (Å): 4.4043 4.0866 5.9421
angles (deg): 90.00 111.72 90.00
Closest atoms and distances in Å follow each position.
Fractional positions:
Sm  0.7227  0.0000  0.9857  7 Ga 3.09-3.26
Dy  0.4454  0.5000  0.4283  7 Ga 3.08-3.22
Ga  0.1557  0.5000  0.8523  2 Ga 2.63
Ga  0.0073  0.0000  0.5517  2 Ga 2.63

Properties
Crystal system: monoclinic
DFT formation energy in meV per atom: -615
Energy relative to the lowest polymorph listed for this composition in meV per atom: 0
Raw total energy in eV per atom: -4.459
Fermi-level density of states in states/eV/cell: 3.46
Size of the total moment in μB per formula unit: 0.001

=====

VASP calculation (PBE) on an optimized crystal structure of HoZr3N4.

a b c (Å): 4.6705 4.6705 4.6705
angles (deg): 90.00 90.00 90.00
Closest atoms and distances in Å follow each position.
Fractional positions:
Ho  0.0000  0.0000  0.0000  6 N 2.34
Zr  0.0000  0.5000  0.5000  6 N 2.34
Zr  0.5000  0.0000  0.5000  6 N 2.34
Zr  0.5000  0.5000  0.0000  6 N 2.34
N  0.5000  0.0000  0.0000  4 Zr 2.34, 2 Ho 2.34
N  0.0000  0.5000  0.0000  4 Zr 2.34, 2 Ho 2.34
N  0.0000  0.0000  0.5000  4 Zr 2.34, 2 Ho 2.34
N  0.5000  0.5000  0.5000  6 Zr 2.34

Properties
Crystal system: cubic
Energy relative to the lowest polymorph listed for this composition in meV per atom: 17
Raw total energy in eV per atom: -9.635
Fermi-level density of states in states/eV/cell: 2.17
Raw formation energy in meV/atom: -1694
Size of the total moment in μB per formula unit: 0.000

=====

VASP calculation (PBE) on an optimized crystal structure of Ac6Pt3S2I.

a b c (Å): 4.3612 9.3498 10.2870
angles (deg): 107.78 102.24 90.00
Closest atoms and distances in Å follow each position.
Fractional positions:
Ac  0.3202  0.9241  0.6404  3 Pt 2.97-3.12, 2 S 3.30
Ac  0.6645  0.5892  0.3290  3 Pt 3.13-3.15, 3 S 3.25-3.26
Ac  0.6798  0.0759  0.3596  3 Pt 2.97-3.12, 2 S 3.30
Ac  0.9961  0.2832  0.9921  3 Pt 2.96-3.07, 1 S 3.30
Ac  0.0039  0.7168  0.0079  3 Pt 2.96-3.07, 1 S 3.30
Ac  0.3355  0.4108  0.6710  3 Pt 3.13-3.15, 3 S 3.25-3.26
Pt  0.5000  0.5000  0.0000  6 Ac 2.96-3.15
Pt  0.8351  0.1703  0.6703  6 Ac 2.97-3.13
Pt  0.1649  0.8297  0.3297  6 Ac 2.97-3.13
S  0.8340  0.6693  0.6680  6 Ac 3.25-3.30
S  0.1660  0.3307  0.3320  6 Ac 3.25-3.30
I  0.5000  0.0000  0.0000  6 Ac 3.45-3.46

Properties
Crystal system: monoclinic
Raw total energy in eV per atom: -5.777
Fermi-level density of states in states/eV/cell: 6.19
Raw formation energy in meV/atom: -1395
Size of the total moment in μB per formula unit: 0.000

=====

VASP calculation (PBE) on an optimized crystal structure of CsMnSe3.

a b c (Å): 5.0623 5.0623 5.0623
angles (deg): 90.00 90.00 90.00
Closest atoms and distances in Å follow each position.
Fractional positions:
Cs  0.5000  0.5000  0.5000  12 Se 3.58
Mn  0.0000  0.0000  0.0000  6 Se 2.53
Se  0.0000  0.5000  0.0000  2 Mn 2.53
Se  0.0000  0.0000  0.5000  2 Mn 2.53
Se  0.5000  0.0000  0.0000  2 Mn 2.53

Properties
Crystal system: cubic
Energy relative to the lowest polymorph listed for this composition in meV per atom: 178
Raw total energy in eV per atom: -4.494
Fermi-level density of states in states/eV/cell: 3.66
Raw formation energy in meV/atom: -399
Size of the total moment in μB per formula unit: 3.114

=====

VASP calculation (PBE) on an optimized crystal structure of Sm2Tm5Th4.

a b c (Å): 6.6428 8.9815 10.2317
angles (deg): 39.22 71.06 68.30
Closest atoms and distances in Å follow each position.
Fractional positions:
Sm  0.1958  0.9329  0.6754  5 Th 3.35-3.68, 3 Tm 3.50-3.65
Sm  0.8042  0.0671  0.3246  5 Th 3.35-3.68, 3 Tm 3.50-3.65
Tm  0.1749  0.2668  0.9034  4 Tm 3.19-3.45, 2 Th 3.31-3.38, 1 Sm 3.50
Tm  0.8251  0.7332  0.0966  4 Tm 3.19-3.45, 2 Th 3.31-3.38, 1 Sm 3.50
Tm  0.0000  0.5000  0.5000  4 Tm 3.27, 2 Sm 3.65
Tm  0.6550  0.2668  0.9034  4 Tm 3.19-3.45, 2 Th 3.31-3.38, 1 Sm 3.50
Tm  0.3450  0.7332  0.0966  4 Tm 3.19-3.45, 2 Th 3.31-3.38, 1 Sm 3.50
Th  0.4088  0.7742  0.4082  2 Th 3.37-3.46, 8 Tm 3.63-3.75, 1 Sm 3.68
Th  0.5912  0.2258  0.5918  2 Th 3.37-3.46, 8 Tm 3.63-3.75, 1 Sm 3.68
Th  0.7516  0.6557  0.8412  4 Tm 3.31-3.38, 4 Sm 3.35-3.66, 1 Th 3.37
Th  0.2484  0.3443  0.1588  4 Tm 3.31-3.38, 4 Sm 3.35-3.66, 1 Th 3.37

Properties
Crystal system: monoclinic
DFT formation energy in meV per atom: 188
Energy relative to the lowest polymorph listed for this composition in meV per atom: 156
Raw total energy in eV per atom: -5.401
Fermi-level density of states in states/eV/cell: 15.70
Size of the total moment in μB per formula unit: 0.000

=====

VASP calculation (PBE) on an optimized crystal structure of PaMnPb2S5.

a b c (Å): 4.0578 8.8403 12.7961
angles (deg): 90.00 90.00 103.27
Closest atoms and distances in Å follow each position.
Fractional positions:
Pa  0.7954  0.5908  0.5262  6 S 2.69-2.70
Pa  0.2046  0.4092  0.0262  6 S 2.69-2.70
Mn  0.5646  0.1293  0.9364  4 S 2.35-2.40
Mn  0.4354  0.8707  0.4364  4 S 2.35-2.40
Pb  0.8768  0.7535  0.8332  5 S 2.98-3.13
Pb  0.0849  0.1698  0.6667  5 S 2.87-3.07
Pb  0.1232  0.2465  0.3332  5 S 2.98-3.13
Pb  0.9151  0.8302  0.1667  5 S 2.87-3.07
S  0.3602  0.7204  0.0020  1 Pa 2.70, 2 Pb 2.98
S  0.6996  0.3992  0.8883  1 Mn 2.40, 2 Pa 2.69
S  0.4973  0.9945  0.7762  1 Mn 2.35
S  0.2858  0.5715  0.6644  2 Pa 2.70
S  0.9521  0.9041  0.5305  2 Mn 2.38
S  0.6398  0.2796  0.5020  1 Pa 2.70, 2 Pb 2.98
S  0.3004  0.6008  0.3883  1 Mn 2.40, 2 Pa 2.69
S  0.5027  0.0055  0.2762  1 Mn 2.35
S  0.7142  0.4285  0.1644  2 Pa 2.70
S  0.0479  0.0959  0.0305  2 Mn 2.38

Properties
Crystal system: orthorhombic
Raw total energy in eV per atom: -6.080
Fermi-level density of states in states/eV/cell: 7.81
Raw formation energy in meV/atom: -889
Size of the total moment in μB per formula unit: 3.974

=====

VASP calculation (PBE) on an optimized crystal structure of CdSbAs.

a b c (Å): 5.2089 5.2089 3.0586
angles (deg): 90.00 90.00 120.00
Closest atoms and distances in Å follow each position.
Fractional positions:
Sb  0.6667  0.3333  0.8517  3 As 3.01, 2 Sb 3.06, 3 Cd 3.27
As  0.0000  0.0000  0.8793  3 Sb 3.01, 2 As 3.06, 3 Cd 3.23-3.24
Cd  0.3333  0.6667  0.2690  2 Cd 3.06, 3 As 3.23-3.24, 3 Sb 3.27

Properties
Crystal system: trigonal
Energy relative to the lowest polymorph listed for this composition in meV per atom: 9
Raw total energy in eV per atom: -3.025
Fermi-level density of states in states/eV/cell: 1.43
Raw formation energy in meV/atom: 205
Size of the total moment in μB per formula unit: 0.000

=====

VASP calculation (PBE) on an optimized crystal structure of NaCaMgSn.

a b c (Å): 5.3257 5.3257 5.3257
angles (deg): 60.00 60.00 60.00
Closest atoms and distances in Å follow each position.
Fractional positions:
Mg  0.5000  0.5000  0.5000  4 Sn 3.26, 4 Na 3.26
Na  0.7500  0.7500  0.7500  4 Mg 3.26, 4 Ca 3.26
Ca  0.0000  0.0000  0.0000  4 Sn 3.26, 4 Na 3.26
Sn  0.2500  0.2500  0.2500  4 Mg 3.26, 4 Ca 3.26

Properties
Crystal system: cubic
DFT formation energy in meV per atom: -244
Raw total energy in eV per atom: -2.474
Fermi-level density of states in states/eV/cell: 2.63
Size of the total moment in μB per formula unit: 0.000